## FeP2SBr (PBE-GGA)

Data for FeP2SBr after structural relaxation.

Cell lengths 4.555, 4.555, 4.333 Å; angles 90.00, 90.00, 90.00 degrees
Fractional coordinates of all 5 atoms:
Fe1 0.000 0.000 0.000
P1 0.000 0.500 0.000
P2 0.500 0.000 0.000
S1 0.000 0.000 0.500
Br1 0.500 0.500 0.500

Results
ΔE_f (raw), eV/atom: 0.524
Crystal system: tetragonal
Size of the total moment, Bohr magnetons per cell: 2.11
VASP energy, eV per atom: -4.4921
Symmetry: P4/mmm
Energy relative to the lowest polymorph listed for this composition, eV/atom: 0.0000



## V2Co4Ge (PBE-GGA)

Data for V2Co4Ge after structural relaxation.

Cell lengths 6.636, 6.636, 6.636 Å; angles 143.12, 143.12, 53.15 degrees
Fractional coordinates of all 7 atoms:
V1 0.129 0.129 0.000
V2 0.871 0.871 0.000
Co1 0.000 0.500 0.500
Co2 0.302 0.302 0.000
Co3 0.500 0.000 0.500
Co4 0.698 0.698 0.000
Ge1 0.500 0.500 0.000

Results
Crystal system: tetragonal
Size of the total moment, Bohr magnetons per cell: 1.87
VASP energy, eV per atom: -6.4458
Symmetry: I4/mmm
Energy relative to the lowest polymorph listed for this composition, eV/atom: 0.8216
ΔE_f, eV per formula unit: 6.2